1.
Below is an optimized crystal structure of KOsO3, with properties calculated at the PBE level.

Unit cell a=3.902 b=3.902 c=3.902 alpha=90.00 beta=90.00 gamma=90.00
Space group Pm-3m (No. 221)
Asymmetric unit:
K 0.000 0.000 0.000 x1
Os 0.500 0.500 0.500 x1
O 0.000 0.500 0.500 x3

VASP energy = -33.23 eV per cell
total magnetization = 0.01 Bohr magnetons per cell

---

2.
Below is an optimized crystal structure of HfCuAu, with properties calculated at the PBE level.

Unit cell a=3.457 b=3.457 c=8.570 alpha=90.00 beta=90.00 gamma=90.00
Space group P4/nmm (No. 129, origin choice 2)
Asymmetric unit:
Hf 0.250 0.250 0.239 x2
Cu 0.250 0.250 0.929 x2
Au 0.250 0.250 0.592 x2

DFT formation energy = -94 kJ/mol of formula units
VASP energy = -35.82 eV per cell
distance to the lowest polymorph of the same formula = 33 meV per atom
total magnetization = 0.13 Bohr magnetons per cell

---

3.
Below is an optimized crystal structure of HgPbSO, with properties calculated at the PBE level.

Unit cell a=4.945 b=4.945 c=7.800 alpha=90.00 beta=90.00 gamma=90.00
Space group P4/nmm (No. 129, origin choice 2)
Asymmetric unit:
Hg 0.250 0.250 0.125 x2
Pb 0.250 0.250 0.674 x2
S 0.250 0.750 0.000 x2
O 0.250 0.250 0.409 x2

VASP energy = -27.61 eV per cell
distance to the lowest polymorph of the same formula = 337 meV per atom

---

4.
Below is an optimized crystal structure of ZrZnCoTc, with properties calculated at the PBE level.

Unit cell a=6.287 b=6.287 c=6.287 alpha=90.00 beta=90.00 gamma=90.00
Space group F-43m (No. 216)
Asymmetric unit:
Zr 0.000 0.000 0.000 x4
Zn 0.250 0.250 0.250 x4
Co 0.000 0.000 0.500 x4
Tc 0.250 0.250 0.750 x4

DFT formation energy = 48 kJ/mol of formula units
VASP energy = -107.13 eV per cell
distance to the lowest polymorph of the same formula = 138 meV per atom
total magnetization = 9.28 Bohr magnetons per cell

---

5.
Below is an optimized crystal structure of LiNbSO, with properties calculated at the PBE level.

Unit cell a=3.1132 b=3.1132 c=12.1475 alpha=90.00 beta=90.00 gamma=120.00
Space group P-6m2 (No. 187)
Asymmetric unit:
Li 0.0000 0.0000 0.2233 x2
Nb 0.0000 0.0000 0.0000 x1
Nb 0.0000 0.0000 0.5000 x1
S 0.3333 0.6667 0.3622 x2
O 0.6667 0.3333 0.1073 x2

VASP energy = -55.45 eV per cell
distance to the lowest polymorph of the same formula = 10 meV per atom
total magnetization = 0.01 Bohr magnetons per cell

---

6.
Below is an optimized crystal structure of ZrBeCuSb, with properties calculated at the PBE level.

Unit cell a=6.542 b=6.542 c=6.542 alpha=90.00 beta=90.00 gamma=90.00
Space group F-43m (No. 216)
Asymmetric unit:
Zr 0.000 0.000 0.000 x4
Be 0.250 0.250 0.750 x4
Cu 0.000 0.000 0.500 x4
Sb 0.250 0.250 0.250 x4

VASP energy = -75.89 eV per cell
distance to the lowest polymorph of the same formula = 29 meV per atom
total magnetization = 1.48 Bohr magnetons per cell

---

7.
Below is an optimized crystal structure of B4PdW, with properties calculated at the PBE level.

Unit cell a=3.019 b=5.232 c=6.985 alpha=90.00 beta=90.00 gamma=90.00
Space group Immm (No. 71)
Asymmetric unit:
B 0.000 0.173 0.241 x8
Pd 0.000 0.500 0.000 x2
W 0.000 0.500 0.500 x2

VASP energy = -88.19 eV per cell
distance to the lowest polymorph of the same formula = 117 meV per atom
total magnetization = 0.56 Bohr magnetons per cell

---

8.
Below is an optimized crystal structure of GdYSi2Ag2, with properties calculated at the PBE level.

Unit cell a=4.4031 b=4.4031 c=7.3999 alpha=90.00 beta=90.00 gamma=120.00
Space group P3m1 (No. 156)
Asymmetric unit:
Gd 0.0000 0.0000 0.0000 x1
Y 0.0000 0.0000 0.4994 x1
Si 0.3333 0.6667 0.7118 x1
Si 0.6667 0.3333 0.2141 x1
Ag 0.3333 0.6667 0.2773 x1
Ag 0.6667 0.3333 0.7682 x1

VASP energy = -30.97 eV per cell
total magnetization = 0.00 Bohr magnetons per cell

---

Copy entry 7 word for word.
Below is an optimized crystal structure of B4PdW, with properties calculated at the PBE level.

Unit cell a=3.019 b=5.232 c=6.985 alpha=90.00 beta=90.00 gamma=90.00
Space group Immm (No. 71)
Asymmetric unit:
B 0.000 0.173 0.241 x8
Pd 0.000 0.500 0.000 x2
W 0.000 0.500 0.500 x2

VASP energy = -88.19 eV per cell
distance to the lowest polymorph of the same formula = 117 meV per atom
total magnetization = 0.56 Bohr magnetons per cell

---

Copy entry 5 word for word.
Below is an optimized crystal structure of LiNbSO, with properties calculated at the PBE level.

Unit cell a=3.1132 b=3.1132 c=12.1475 alpha=90.00 beta=90.00 gamma=120.00
Space group P-6m2 (No. 187)
Asymmetric unit:
Li 0.0000 0.0000 0.2233 x2
Nb 0.0000 0.0000 0.0000 x1
Nb 0.0000 0.0000 0.5000 x1
S 0.3333 0.6667 0.3622 x2
O 0.6667 0.3333 0.1073 x2

VASP energy = -55.45 eV per cell
distance to the lowest polymorph of the same formula = 10 meV per atom
total magnetization = 0.01 Bohr magnetons per cell

---

Which value of VASP energy does entry 4 give?
-107.13 eV per cell